{"formula": "Nd4HoMg3", "functional": "PBE-GGA", "state": "optimized geometry", "e_tot_ev_per_atom": -3.60, "mass_density_g_cm3": 5.56, "ef_ev_per_atom": -0.04, "magnetic_moment_mub_per_fu": 0.00, "lattice_angstrom": [[3.855, 0.000, 0.000], [0.000, 5.603, 0.000], [0.000, 0.000, 11.268]], "species": ["Nd", "Mg", "Ho", "Nd", "Nd", "Nd", "Mg", "Mg"], "frac_coords": [[0.000, 0.000, 0.000], [0.500, 0.000, 0.750], [0.500, 0.500, 0.000], [0.000, 0.500, 0.740], [0.000, 0.000, 0.500], [0.000, 0.500, 0.260], [0.500, 0.500, 0.500], [0.500, 0.000, 0.250]]}